Record 1
Computed, not measured: a relaxed SrTeRu2 crystal at the GGA-PBEsol level of DFT.

## Properties
Formation energy (no corrections)   667 meV/atom

a = 4.8249 Å, b = 4.8249 Å, c = 4.8249 Å
α = 60.00°, β = 60.00°, γ = 60.00°
With the nearest neighbours (Å) after each atom.
Fractional positions:
Ru: 0.7500 0.7500 0.7500  4 Sr 2.95, 4 Ru 2.95
Ru: 0.0000 0.0000 0.0000  4 Te 2.95, 4 Ru 2.95
Te: 0.2500 0.2500 0.2500  4 Ru 2.95, 4 Sr 2.95
Sr: 0.5000 0.5000 0.5000  4 Te 2.95, 4 Ru 2.95


Record 2
Computed, not measured: a relaxed SrSi2Ag crystal at the GGA-PBEsol level of DFT.

## Properties
Formation energy (no corrections)   -18 meV/atom

a = 3.5542 Å, b = 3.5542 Å, c = 6.6162 Å
α = 90.00°, β = 90.00°, γ = 90.00°
With the nearest neighbours (Å) after each atom.
Fractional positions:
Ag: 0.5000 0.5000 0.5000  8 Si 2.77
Sr: 0.5000 0.5000 0.0000  8 Si 3.30, 2 Ag 3.31, 4 Sr 3.55
Si: 0.0000 0.0000 0.6766  1 Si 2.34
Si: 0.0000 0.0000 0.3234  1 Si 2.34


Record 3
Computed, not measured: a relaxed Fe2Sb crystal at the GGA-PBEsol level of DFT.

## Properties
Formation energy (no corrections)   195 meV/atom

a = 3.2245 Å, b = 4.1202 Å, c = 6.5170 Å
α = 90.00°, β = 104.32°, γ = 90.00°
With the nearest neighbours (Å) after each atom.
Fractional positions:
Fe: 0.7656 0.7500 0.5311  6 Fe 2.58-2.65, 4 Sb 2.64-2.67
Fe: 0.4249 0.7500 0.8497  4 Fe 2.58-2.80, 6 Sb 2.63-2.73
Fe: 0.2344 0.2500 0.4689  6 Fe 2.58-2.65, 4 Sb 2.64-2.67
Fe: 0.5751 0.2500 0.1503  4 Fe 2.58-2.80, 6 Sb 2.63-2.73
Sb: 0.0996 0.7500 0.1992  10 Fe 2.63-2.73
Sb: 0.9004 0.2500 0.8008  10 Fe 2.63-2.73


Record 4
Computed, not measured: a relaxed Mn3Ni20B6 crystal at the GGA-PBEsol level of DFT.

## Properties
Energy relative to the elements   -0.282 eV/atom

a = 7.3205 Å, b = 7.3205 Å, c = 7.3205 Å
α = 60.00°, β = 60.00°, γ = 60.00°
With the nearest neighbours (Å) after each atom.
Fractional positions:
Ni: 0.3394 0.6606 0.0000  2 B 2.05
Ni: 0.3826 0.3826 0.8521  3 B 2.07
Ni: 0.3826 0.3826 0.3826  3 B 2.07
Ni: 0.8521 0.3826 0.3826  3 B 2.07
Ni: 0.0000 0.6606 0.0000  2 B 2.05
Ni: 0.6606 0.0000 0.3394  2 B 2.05
Ni: 0.3826 0.8521 0.3826  3 B 2.07
Ni: 0.6606 0.0000 0.0000  2 B 2.05
Ni: 0.6174 0.1479 0.6174  3 B 2.07
Ni: 0.0000 0.0000 0.3394  2 B 2.05
Ni: 0.0000 0.3394 0.0000  2 B 2.05
Ni: 0.0000 0.3394 0.6606  2 B 2.05
Ni: 0.6606 0.3394 0.0000  2 B 2.05
Ni: 0.0000 0.0000 0.6606  2 B 2.05
Ni: 0.0000 0.6606 0.3394  2 B 2.05
Ni: 0.3394 0.0000 0.6606  2 B 2.05
Ni: 0.6174 0.6174 0.6174  3 B 2.07
Ni: 0.6174 0.6174 0.1479  3 B 2.07
Ni: 0.1479 0.6174 0.6174  3 B 2.07
Ni: 0.3394 0.0000 0.0000  2 B 2.05
B: 0.2713 0.2713 0.7287  8 Ni 2.05-2.07
B: 0.7287 0.2713 0.7287  8 Ni 2.05-2.07
B: 0.2713 0.7287 0.2713  8 Ni 2.05-2.07
B: 0.2713 0.7287 0.7287  8 Ni 2.05-2.07
B: 0.7287 0.2713 0.2713  8 Ni 2.05-2.07
B: 0.7287 0.7287 0.2713  8 Ni 2.05-2.07
Mn: 0.2500 0.2500 0.2500  4 Ni 2.38
Mn: 0.0000 0.0000 0.0000  12 Ni 2.48
Mn: 0.7500 0.7500 0.7500  4 Ni 2.38


Record 5
Computed, not measured: a relaxed YSc2Ru2 crystal at the GGA-PBEsol level of DFT.

## Properties
Energy relative to the elements   -0.343 eV/atom

a = 3.2457 Å, b = 7.5878 Å, c = 7.5878 Å
α = 90.00°, β = 90.00°, γ = 90.00°
With the nearest neighbours (Å) after each atom.
Fractional positions:
Sc: 0.5000 0.3576 0.1424  6 Ru 2.72-2.78
Sc: 0.5000 0.8576 0.3576  6 Ru 2.72-2.78
Sc: 0.5000 0.1424 0.6424  6 Ru 2.72-2.78
Sc: 0.5000 0.6424 0.8576  6 Ru 2.72-2.78
Y: 0.0000 0.5000 0.5000  4 Ru 2.87
Y: 0.0000 0.0000 0.0000  4 Ru 2.87
Ru: 0.0000 0.6540 0.1540  6 Sc 2.72-2.78, 2 Y 2.87
Ru: 0.0000 0.8460 0.6540  6 Sc 2.72-2.78, 2 Y 2.87
Ru: 0.0000 0.3460 0.8460  6 Sc 2.72-2.78, 2 Y 2.87
Ru: 0.0000 0.1540 0.3460  6 Sc 2.72-2.78, 2 Y 2.87


Record 6
Computed, not measured: a relaxed LaTlAg4 crystal at the GGA-PBEsol level of DFT.

## Properties
Energy relative to the elements   -0.238 eV/atom

a = 5.5812 Å, b = 5.5812 Å, c = 5.5812 Å
α = 60.00°, β = 60.00°, γ = 60.00°
With the nearest neighbours (Å) after each atom.
Fractional positions:
Ag: 0.3747 0.3747 0.3747  6 Ag 2.78-2.80
Ag: 0.3747 0.8759 0.3747  6 Ag 2.78-2.80
Ag: 0.8759 0.3747 0.3747  6 Ag 2.78-2.80
Ag: 0.3747 0.3747 0.8759  6 Ag 2.78-2.80
La: 0.7500 0.7500 0.7500  12 Ag 3.27, 4 Tl 3.42
Tl: 0.0000 0.0000 0.0000  12 Ag 3.27, 4 La 3.42


Record 7
Computed, not measured: a relaxed CsGeOs3 crystal at the GGA-PBEsol level of DFT.

## Properties
Energy above the most stable polymorph in this dataset   1882 meV per atom
Energy relative to the elements   4.028 eV/atom

a = 4.8864 Å, b = 4.8864 Å, c = 4.8864 Å
α = 90.00°, β = 90.00°, γ = 90.00°
With the nearest neighbours (Å) after each atom.
Fractional positions:
Os: 0.0000 0.5000 0.0000  2 Cs 2.44
Os: 0.0000 0.0000 0.5000  2 Cs 2.44
Os: 0.5000 0.0000 0.0000  2 Cs 2.44
Ge: 0.5000 0.5000 0.5000  12 Os 3.46
Cs: 0.0000 0.0000 0.0000  6 Os 2.44


Record 8
Computed, not measured: a relaxed KRe2Pb crystal at the GGA-PBEsol level of DFT.

## Properties
Energy relative to the elements   1.361 eV/atom

a = 2.8225 Å, b = 4.8925 Å, c = 6.8680 Å
α = 90.00°, β = 90.00°, γ = 90.00°
With the nearest neighbours (Å) after each atom.
Fractional positions:
Pb: 0.5000 0.5000 0.5000  2 Pb 2.82, 8 Re 3.04
Re: 0.0000 0.0000 0.6651  1 Re 2.27
Re: 0.0000 0.0000 0.3349  1 Re 2.27
K: 0.5000 0.5000 0.0000  2 K 2.82


Record 9
Computed, not measured: a relaxed Y2Zr crystal at the GGA-PBEsol level of DFT.

## Properties
Energy above the most stable polymorph in this dataset   0 meV per atom
Energy relative to the elements   0.084 eV/atom

a = 3.3678 Å, b = 3.3678 Å, c = 7.5915 Å
α = 102.82°, β = 102.82°, γ = 90.00°
With the nearest neighbours (Å) after each atom.
Fractional positions:
Zr: 0.0000 0.0000 0.0000  8 Y 3.27, 4 Zr 3.37
Y: 0.3445 0.3445 0.6890  4 Zr 3.27, 8 Y 3.37-3.62
Y: 0.6555 0.6555 0.3110  4 Zr 3.27, 8 Y 3.37-3.62


Record 10
Computed, not measured: a relaxed Cs3RbAu crystal at the GGA-PBEsol level of DFT.

## Properties
Energy relative to the elements   -0.082 eV/atom

a = 8.7424 Å, b = 8.7424 Å, c = 10.2020 Å
α = 90.00°, β = 90.00°, γ = 109.81°
With the nearest neighbours (Å) after each atom.
Fractional positions:
Cs: 0.2637 0.2637 0.5000  2 Au 3.49
Cs: 0.2637 0.2637 0.0000  2 Au 3.49
Cs: 0.7420 0.2580 0.7500  1 Au 3.52
Cs: 0.7363 0.7363 0.5000  2 Au 3.49
Cs: 0.2580 0.7420 0.2500  1 Au 3.52
Cs: 0.7363 0.7363 0.0000  2 Au 3.49
Au: 0.4961 0.5039 0.7500  1 Rb 3.44, 5 Cs 3.49-3.52
Au: 0.5039 0.4961 0.2500  1 Rb 3.44, 5 Cs 3.49-3.52
Rb: 0.2558 0.7442 0.7500  1 Au 3.44
Rb: 0.7442 0.2558 0.2500  1 Au 3.44


Record 11
Computed, not measured: a relaxed CoRe2Tc crystal at the GGA-PBEsol level of DFT.

## Properties
Energy above the most stable polymorph in this dataset   243 meV per atom
Energy relative to the elements   0.250 eV/atom

a = 4.2541 Å, b = 4.2541 Å, c = 4.2541 Å
α = 60.00°, β = 60.00°, γ = 60.00°
With the nearest neighbours (Å) after each atom.
Fractional positions:
Re: 0.0000 0.0000 0.0000  4 Tc 2.61, 4 Re 2.61
Re: 0.7500 0.7500 0.7500  4 Co 2.61, 4 Re 2.61
Tc: 0.2500 0.2500 0.2500  4 Co 2.61, 4 Re 2.61
Co: 0.5000 0.5000 0.5000  4 Re 2.61, 4 Tc 2.61


Record 12
Computed, not measured: a relaxed Li2ScCd crystal at the GGA-PBEsol level of DFT.

## Properties
Energy above the most stable polymorph in this dataset   12 meV per atom
Energy relative to the elements   -0.073 eV/atom

a = 4.5538 Å, b = 4.7019 Å, c = 4.5520 Å
α = 61.05°, β = 90.00°, γ = 118.97°
With the nearest neighbours (Å) after each atom.
Fractional positions:
Cd: 0.0000 0.0000 0.0000  8 Li 2.85
Sc: 0.5000 0.0000 0.5000  8 Li 2.85
Li: 0.2502 0.5003 0.2498  4 Sc 2.85, 4 Cd 2.85
Li: 0.7498 0.4997 0.7502  4 Sc 2.85, 4 Cd 2.85


Number 1: DOS at the Fermi energy 1.23 states/eV/atom, DFT total energy -5.7612 eV/atom. Number 2: DOS at the Fermi energy 0.36 states/eV/atom, DFT total energy -4.1791 eV/atom. Number 3: DOS at the Fermi energy 0.86 states/eV/atom, DFT total energy -7.2998 eV/atom. Number 4: DOS at the Fermi energy 0.51 states/eV/atom, DFT total energy -6.9897 eV/atom. Number 5: DOS at the Fermi energy 0.44 states/eV/atom, DFT total energy -8.4187 eV/atom. Number 6: DOS at the Fermi energy 0.16 states/eV/atom, DFT total energy -3.7746 eV/atom. Number 7: DOS at the Fermi energy 2.01 states/eV/atom, DFT total energy -4.4775 eV/atom. Number 8: DOS at the Fermi energy 1.02 states/eV/atom, DFT total energy -6.5879 eV/atom. Number 9: DOS at the Fermi energy 1.33 states/eV/atom, DFT total energy -7.4936 eV/atom. Number 10: DOS at the Fermi energy 0.81 states/eV/atom, DFT total energy -1.6375 eV/atom. Number 11: DOS at the Fermi energy 1.41 states/eV/atom, DFT total energy -11.1665 eV/atom. Number 12: DOS at the Fermi energy 1.13 states/eV/atom, DFT total energy -3.0073 eV/atom.